Below is a relaxed Rb4Ce3PtS8 crystal, with properties calculated at the PBE level.

Geometry as POSCAR:
```
Rb4Ce3PtS8
1.0
-1.8243 -7.6618 -1.5016
2.0100 -2.1301 8.4265
-6.0829 5.8366 -0.9846
S Pt Rb Ce
8 1 4 3
Cartesian
-2.6209 -4.4207 4.3346
-4.7757 2.6571 4.3869
-0.0866 -2.2662 2.4052
-3.2763 0.4654 1.6057
-5.8106 -1.6891 3.5351
-1.1215 -6.6124 1.5534
-2.3821 -0.4449 5.1641
-3.5151 -3.5104 0.7762
1.0050 -1.0650 4.2132
-3.9536 -0.9126 -1.2431
-0.9122 -3.8309 -0.7508
0.0000 0.0000 0.0000
-3.0414 2.9183 -0.4923
0.0928 -4.8959 3.4624
-2.9486 -1.9777 2.9702
-2.0365 1.8533 3.7210
```

Density, Mg/m³: 4.3
Total magnetization, Bohr magnetons per cell: 2.02
DFT total energy, eV/atom: -5.24



Below is a relaxed Sn2BiTe crystal, with properties calculated at the PBE level.

Geometry as POSCAR:
```
Sn2BiTe
1.0
0.0000 3.8791 3.8791
3.8791 0.0000 3.8791
3.8791 3.8791 0.0000
Sn Bi Te
2 1 1
Cartesian
5.8186 5.8186 5.8186
1.9395 1.9395 1.9395
3.8791 3.8791 3.8791
0.0000 0.0000 0.0000
```

Density, Mg/m³: 8.2
Total magnetization, Bohr magnetons per cell: 0.00
DFT total energy, eV/atom: -3.69



Below is a relaxed NbAsSeN2 crystal, with properties calculated at the PBE level.

Geometry as POSCAR:
```
NbAsSeN2
1.0
3.8292 0.0000 0.0000
0.0000 3.8292 0.0000
0.0000 0.0000 5.0484
As Se N Nb
1 1 2 1
Cartesian
0.0000 0.0000 0.0000
0.0000 0.0000 2.5242
1.9146 0.0000 0.0000
0.0000 1.9146 0.0000
1.9146 1.9146 2.5242
```

Density, Mg/m³: 6.2
Total magnetization, Bohr magnetons per cell: 1.56
DFT total energy, eV/atom: -5.71



Below is a relaxed AlSiPt2 crystal, with properties calculated at the PBE level.

Geometry as POSCAR:
```
AlSiPt2
1.0
2.9769 0.0000 0.0000
0.0000 3.1398 0.0036
0.0000 1.3835 6.7273
Pt Si Al
2 1 1
Cartesian
0.0000 1.7555 3.5598
0.0000 1.8897 6.5330
1.4884 1.1308 1.6827
1.4884 3.3925 5.0482
```

Density, Mg/m³: 11.8
Total magnetization, Bohr magnetons per cell: 0.00
DFT total energy, eV/atom: -5.92



Below is a relaxed Ge2BiRu4 crystal, with properties calculated at the PBE level.

Geometry as POSCAR:
```
Ge2BiRu4
1.0
4.9109 0.0000 0.0000
0.0000 4.9109 0.0000
2.4555 2.4555 6.2611
Ru Bi Ge
4 1 2
Cartesian
2.4555 2.4555 3.6133
2.4555 0.0000 0.0000
0.0000 2.4555 0.0000
4.9109 4.9109 2.6478
0.0000 0.0000 0.0000
4.9109 4.9109 4.9686
2.4555 2.4555 1.2925
```

Energy relative to the elements, eV per atom: 1.385
Density, Mg/m³: 8.3
Total magnetization, Bohr magnetons per cell: 1.93



Below is a relaxed TbPm10Pr4 crystal, with properties calculated at the PBE level.

Geometry as POSCAR:
```
TbPm10Pr4
1.0
-5.5218 -9.0603 -1.0453
3.2097 -8.2331 0.0332
-3.5962 -4.8276 6.4690
Pr Pm Tb
4 10 1
Cartesian
0.6765 -6.8819 1.7033
-6.5848 -15.2391 3.7536
-1.6733 -11.9474 3.6496
-4.2350 -10.1736 1.8073
-4.3346 -13.3256 2.4671
-4.3111 -18.6159 3.5075
-1.5737 -8.7954 2.9898
-1.5971 -3.5051 1.9494
-2.5335 -15.6991 3.8440
-3.3748 -6.4219 1.6129
-0.6626 -10.1386 0.1368
-3.4681 -9.0656 5.6566
-2.4402 -13.0554 -0.1997
-5.2457 -11.9824 5.3201
0.0000 0.0000 0.0000
```

Energy relative to the elements, eV per atom: 0.309
Density, Mg/m³: 6.8
Total magnetization, Bohr magnetons per cell: 0.00



Below is a relaxed Re2HgCl crystal, with properties calculated at the PBE level.

Geometry as POSCAR:
```
Re2HgCl
1.0
5.5424 0.0036 0.0450
4.8176 2.7403 0.0450
2.2134 0.5862 4.8800
Hg Re Cl
1 2 1
Cartesian
9.1463 2.4224 3.6419
10.3873 2.7511 0.7575
3.1616 0.8374 0.9905
6.5247 1.7281 2.1554
```

Density, Mg/m³: 13.7
Total magnetization, Bohr magnetons per cell: 0.00
DFT total energy, eV/atom: -5.88



Below is a relaxed SmY7Tm2 crystal, with properties calculated at the PBE level.

Geometry as POSCAR:
```
SmY7Tm2
1.0
-0.9843 3.0966 1.1538
-2.9694 4.3184 -14.1229
-3.2073 -6.0235 13.4296
Y Tm Sm
7 2 1
Cartesian
-3.0431 1.1145 -5.5871
-5.1804 -0.7807 2.8288
-3.1336 -2.8195 4.8937
-3.5805 0.6958 0.2302
-2.0286 0.0888 3.1824
-1.9806 2.1723 -2.3683
-5.1325 1.3027 -2.7219
-3.5109 3.7200 -7.8267
-3.6501 -2.3285 8.2872
0.0000 0.0000 0.0000
```

Energy relative to the elements, eV per atom: 0.221
Density, Mg/m³: 5.6
Total magnetization, Bohr magnetons per cell: 0.00



Number 6 is which compound? TbPm10Pr4